Model a:
Below is a geometry-optimized BaAc4Pr structure, with properties calculated at the PBE level.

Lattice parameters (Å, degrees): 7.4102 7.4102 7.4102 60.00 60.00 60.00
Fractional coordinates of all 6 atoms:
Ba (0.0000, 0.0000, 0.0000)
Ac (0.3770, 0.3770, 0.3770)
Ac (0.3770, 0.3770, 0.8690)
Ac (0.3770, 0.8690, 0.3770)
Ac (0.8690, 0.3770, 0.3770)
Pr (0.7500, 0.7500, 0.7500)

## Properties
As for the theoretical density: 6.8 Mg/m³. Its crystal system is cubic. Its total magnetic moment is 0.00 μB per formula unit. For the density of states at the Fermi level, the calculation gives 1.440 states/eV/atom.

Model b:
Below is a geometry-optimized BaAc4Pr structure, with properties calculated at the PBE level.

Lattice parameters (Å, degrees): 3.9967 3.9967 17.0887 90.00 90.00 90.00
Fractional coordinates of all 6 atoms:
Ba (0.0000, 0.0000, 0.0000)
Ac (0.0000, 0.0000, 0.3481)
Ac (0.0000, 0.0000, 0.6519)
Ac (0.5000, 0.5000, 0.1879)
Ac (0.5000, 0.5000, 0.8121)
Pr (0.5000, 0.5000, 0.5000)

## Properties
As for the theoretical density: 7.2 Mg/m³. Its crystal system is tetragonal. Its total magnetic moment is 0.00 μB per formula unit. For the density of states at the Fermi level, the calculation gives 1.708 states/eV/atom.

Winner for stability: model b

Model a:
Below is a geometry-optimized RbBa2Ac structure, with properties calculated at the PBE level.

Lattice parameters (Å, degrees): 4.2496 4.2496 13.5108 90.00 90.00 90.00
Fractional coordinates of all 4 atoms:
Rb (0.0000, 0.0000, 0.0000)
Ba (0.5000, 0.5000, 0.2838)
Ba (0.5000, 0.5000, 0.7162)
Ac (0.0000, 0.0000, 0.5000)

## Properties
As for the theoretical density: 4.0 Mg/m³. Its crystal system is tetragonal. Its total magnetic moment is 0.00 μB per formula unit. For the density of states at the Fermi level, the calculation gives 1.749 states/eV/atom.

Model b:
Below is a geometry-optimized RbBa2Ac structure, with properties calculated at the PBE level.

Lattice parameters (Å, degrees): 7.2612 7.2612 4.4779 90.00 90.00 90.00
Fractional coordinates of all 4 atoms:
Rb (0.0000, 0.0000, 0.0000)
Ba (0.0000, 0.5000, 0.5000)
Ba (0.5000, 0.0000, 0.5000)
Ac (0.5000, 0.5000, 0.0000)

## Properties
As for the theoretical density: 4.1 Mg/m³. Its crystal system is tetragonal. Its total magnetic moment is 0.00 μB per formula unit. For the density of states at the Fermi level, the calculation gives 1.375 states/eV/atom.

Model c:
Below is a geometry-optimized RbBa2Ac structure, with properties calculated at the PBE level.

Lattice parameters (Å, degrees): 15.6201 15.6201 15.6201 15.80 15.80 15.80
Fractional coordinates of all 4 atoms:
Rb (0.0000, 0.0000, 0.0000)
Ba (0.0943, 0.0943, 0.0943)
Ba (0.9057, 0.9057, 0.9057)
Ac (0.5000, 0.5000, 0.5000)

## Properties
As for the theoretical density: 4.0 Mg/m³. Its crystal system is trigonal. Its total magnetic moment is 0.00 μB per formula unit. For the density of states at the Fermi level, the calculation gives 1.624 states/eV/atom.

Winner for stability: model a

Model a:
Below is a geometry-optimized RbBaAc structure, with properties calculated at the PBE level.

Lattice parameters (Å, degrees): 4.2488 4.2488 11.3226 90.00 90.00 120.00
Fractional coordinates of all 3 atoms:
Rb (0.0000, 0.0000, 0.0000)
Ba (0.6667, 0.3333, 0.3674)
Ac (0.3333, 0.6667, 0.6593)

## Properties
As for the theoretical density: 4.2 Mg/m³. Its crystal system is trigonal. Its total magnetic moment is 0.37 μB per formula unit. For the density of states at the Fermi level, the calculation gives 1.558 states/eV/atom.

Model b:
Below is a geometry-optimized RbBaAc structure, with properties calculated at the PBE level.

Lattice parameters (Å, degrees): 10.2688 8.4249 7.9187 77.78 53.31 48.91
Fractional coordinates of all 6 atoms:
Rb (0.1540, 0.8460, 0.1540)
Rb (0.8460, 0.1540, 0.8460)
Ba (0.3351, 0.3351, 0.6649)
Ba (0.6649, 0.6649, 0.3351)
Ac (0.2500, 0.2500, 0.2500)
Ac (0.7500, 0.7500, 0.7500)

## Properties
As for the theoretical density: 3.8 Mg/m³. Its crystal system is orthorhombic. Its total magnetic moment is 0.00 μB per formula unit. For the density of states at the Fermi level, the calculation gives 1.360 states/eV/atom.

Winner for stability: model a

Model a:
Below is a geometry-optimized BaAcRh structure, with properties calculated at the PBE level.

Lattice parameters (Å, degrees): 10.2241 10.2241 11.8943 90.83 90.83 24.79
Fractional coordinates of all 12 atoms:
Ba (0.0576, 0.0576, 0.3542)
Ba (0.4170, 0.4170, 0.1132)
Ba (0.5830, 0.5830, 0.8868)
Ba (0.9424, 0.9424, 0.6458)
Ac (0.2017, 0.2017, 0.6228)
Ac (0.2094, 0.2094, 0.1256)
Ac (0.7906, 0.7906, 0.8744)
Ac (0.7983, 0.7983, 0.3772)
Rh (0.1899, 0.1899, 0.8765)
Rh (0.2010, 0.2010, 0.3716)
Rh (0.7990, 0.7990, 0.6284)
Rh (0.8101, 0.8101, 0.1235)

## Properties
As for the theoretical density: 6.0 Mg/m³. Its crystal system is monoclinic. Its total magnetic moment is 0.00 μB per formula unit. For the density of states at the Fermi level, the calculation gives 0.738 states/eV/atom.

Model b:
Below is a geometry-optimized BaAcRh structure, with properties calculated at the PBE level.

Lattice parameters (Å, degrees): 8.5049 8.5049 10.1984 91.76 91.76 39.49
Fractional coordinates of all 12 atoms:
Ba (0.0549, 0.0549, 0.3188)
Ba (0.4119, 0.4119, 0.1096)
Ba (0.5881, 0.5881, 0.8904)
Ba (0.9451, 0.9451, 0.6812)
Ac (0.2529, 0.2529, 0.8390)
Ac (0.3080, 0.3080, 0.4255)
Ac (0.6920, 0.6920, 0.5745)
Ac (0.7471, 0.7471, 0.1610)
Rh (0.1528, 0.1528, 0.5963)
Rh (0.2177, 0.2177, 0.1392)
Rh (0.7823, 0.7823, 0.8608)
Rh (0.8472, 0.8472, 0.4037)

## Properties
As for the theoretical density: 6.6 Mg/m³. Its crystal system is monoclinic. Its total magnetic moment is 0.00 μB per formula unit. For the density of states at the Fermi level, the calculation gives 0.724 states/eV/atom.

Model c:
Below is a geometry-optimized BaAcRh structure, with properties calculated at the PBE level.

Lattice parameters (Å, degrees): 4.3988 4.3988 7.2114 90.00 90.00 120.00
Fractional coordinates of all 3 atoms:
Ba (0.0000, 0.0000, 0.0000)
Ac (0.3333, 0.6667, 0.5389)
Rh (0.6667, 0.3333, 0.7325)

## Properties
As for the theoretical density: 6.4 Mg/m³. Its crystal system is trigonal. Its total magnetic moment is 0.00 μB per formula unit. For the density of states at the Fermi level, the calculation gives 0.297 states/eV/atom.

Model d:
Below is a geometry-optimized BaAcRh structure, with properties calculated at the PBE level.

Lattice parameters (Å, degrees): 5.2936 5.2936 5.2936 60.00 60.00 60.00
Fractional coordinates of all 3 atoms:
Ba (0.0000, 0.0000, 0.0000)
Ac (0.5000, 0.5000, 0.5000)
Rh (0.7500, 0.7500, 0.7500)

## Properties
As for the theoretical density: 7.4 Mg/m³. Its crystal system is cubic. Its total magnetic moment is 0.00 μB per formula unit. For the density of states at the Fermi level, the calculation gives 0.672 states/eV/atom.

Winner for stability: model c

Model a:
Below is a geometry-optimized BaAcRh structure, with properties calculated at the PBE level.

Lattice parameters (Å, degrees): 4.4068 4.4068 14.5509 98.79 98.79 60.01
Fractional coordinates of all 6 atoms:
Ba (0.2136, 0.2136, 0.1420)
Ba (0.7864, 0.7864, 0.8580)
Ac (0.3754, 0.3754, 0.6270)
Ac (0.6246, 0.6246, 0.3730)
Rh (0.0753, 0.0753, 0.7258)
Rh (0.9247, 0.9247, 0.2742)

## Properties
As for the theoretical density: 6.4 Mg/m³. Its crystal system is monoclinic. Its total magnetic moment is 0.00 μB per formula unit. For the density of states at the Fermi level, the calculation gives 0.376 states/eV/atom.

Model b:
Below is a geometry-optimized BaAcRh structure, with properties calculated at the PBE level.

Lattice parameters (Å, degrees): 7.8283 7.8283 7.8283 151.68 151.68 40.48
Fractional coordinates of all 3 atoms:
Ba (0.0000, 0.0000, 0.0000)
Ac (0.2452, 0.2452, 0.0000)
Rh (0.6503, 0.6503, 0.0000)

## Properties
As for the theoretical density: 7.2 Mg/m³. Its crystal system is tetragonal. Its total magnetic moment is 0.00 μB per formula unit. For the density of states at the Fermi level, the calculation gives 0.750 states/eV/atom.

Winner for stability: model a

Model a:
Below is a geometry-optimized BaAc3Ru structure, with properties calculated at the PBE level.

Lattice parameters (Å, degrees): 5.9510 5.9510 5.9510 90.00 90.00 90.00
Fractional coordinates of all 5 atoms:
Ba (0.0000, 0.0000, 0.0000)
Ac (0.0000, 0.5000, 0.5000)
Ac (0.5000, 0.0000, 0.5000)
Ac (0.5000, 0.5000, 0.0000)
Ru (0.5000, 0.5000, 0.5000)

## Properties
As for the theoretical density: 7.2 Mg/m³. Its crystal system is cubic. Its total magnetic moment is 0.00 μB per formula unit. For the density of states at the Fermi level, the calculation gives 1.211 states/eV/atom.

Model b:
Below is a geometry-optimized BaAc3Ru structure, with properties calculated at the PBE level.

Lattice parameters (Å, degrees): 7.4297 7.4297 11.8551 113.95 113.95 47.43
Fractional coordinates of all 10 atoms:
Ba (0.1206, 0.1206, 0.4317)
Ba (0.8794, 0.8794, 0.5683)
Ac (0.1352, 0.1352, 0.9406)
Ac (0.3731, 0.3731, 0.3111)
Ac (0.3835, 0.3835, 0.8256)
Ac (0.6165, 0.6165, 0.1744)
Ac (0.6269, 0.6269, 0.6889)
Ac (0.8648, 0.8648, 0.0594)
Ru (0.3849, 0.3849, 0.0840)
Ru (0.6151, 0.6151, 0.9160)

## Properties
As for the theoretical density: 7.1 Mg/m³. Its crystal system is monoclinic. Its total magnetic moment is 0.00 μB per formula unit. For the density of states at the Fermi level, the calculation gives 1.172 states/eV/atom.

Winner for stability: model b